Here is crystalline LiDySc at its relaxed geometry from Alexandria via LeMat-Bulk. Energies are from PBE-GGA.

Unit cell a=6.521 b=6.521 c=6.521 alpha=148.74 beta=148.74 gamma=44.80
Fractional coordinates of all 3 atoms:
Li  0.000  0.000  0.000
Dy  0.331  0.331  0.000
Sc  0.642  0.642  0.000

Properties
The formation energy is 0.12 eV per atom. The calculated total energy comes out at -12.5 eV/cell.